5
Lattice="5.191 0.000 0.000 0.000 5.191 0.000 0.000 0.000 5.878" Properties=species:S:1:pos:R:3 comment="RbBrNF2, relaxed, DFT PBE" raw_formation_energy_ev_per_atom=0.358 dft_energy_ev_per_atom=-2.5834 mass_density_g_cm3=2.3 pbc="T T T"
Rb 0.000 0.000 0.000
Br 2.595 2.595 2.939
N 0.000 0.000 2.939
F 0.000 2.595 0.000
F 2.595 0.000 0.000

---

10
Lattice="-4.008 4.008 4.482 4.008 -4.008 4.482 4.008 4.008 -4.482" Properties=species:S:1:pos:R:3 comment="Rb2Br6NF, relaxed, DFT PBE" raw_formation_energy_ev_per_atom=-0.307 dft_energy_ev_per_atom=-2.5238 mass_density_g_cm3=3.9 pbc="T T T"
Rb 4.008 0.000 2.241
Rb 0.000 4.008 2.241
Br 0.000 0.000 2.179
Br 2.300 2.300 0.000
Br 1.708 -1.708 4.482
Br -1.708 1.708 4.482
Br 1.708 1.708 4.482
Br 0.000 0.000 6.785
N 0.000 0.000 4.482
F 0.000 0.000 0.000

---

5
Lattice="4.338 0.000 0.000 0.000 4.338 0.000 0.000 0.000 4.392" Properties=species:S:1:pos:R:3 comment="ReBrNF2, relaxed, DFT PBE" raw_formation_energy_ev_per_atom=1.544 dft_energy_ev_per_atom=-3.6936 mass_density_g_cm3=6.4 pbc="T T T"
Re 0.000 0.000 0.000
Br 2.169 2.169 2.196
N 2.169 2.169 0.000
F 0.000 2.169 2.196
F 2.169 0.000 2.196

---

5
Lattice="4.177 0.000 0.000 0.000 4.177 0.000 0.000 0.000 3.879" Properties=species:S:1:pos:R:3 comment="ReBrNF2, relaxed, DFT PBE" raw_formation_energy_ev_per_atom=-0.317 dft_energy_ev_per_atom=-5.5547 mass_density_g_cm3=7.8 pbc="T T T"
Re 0.000 0.000 0.000
Br 2.088 2.088 1.939
N 0.000 0.000 1.939
F 0.000 2.088 0.000
F 2.088 0.000 0.000

---

5
Lattice="4.793 0.000 0.000 0.000 4.793 0.000 0.000 0.000 3.672" Properties=species:S:1:pos:R:3 comment="RuBrNF2, relaxed, DFT PBE" raw_formation_energy_ev_per_atom=1.124 dft_energy_ev_per_atom=-3.4792 mass_density_g_cm3=4.6 pbc="T T T"
Ru 0.000 0.000 0.000
Br 2.397 2.397 1.836
N 2.397 2.397 0.000
F 0.000 2.397 1.836
F 2.397 0.000 1.836

---

5
Lattice="4.196 0.000 0.000 0.000 4.196 0.000 0.000 0.000 3.820" Properties=species:S:1:pos:R:3 comment="RuBrNF2, relaxed, DFT PBE" raw_formation_energy_ev_per_atom=-0.128 dft_energy_ev_per_atom=-4.7313 mass_density_g_cm3=5.8 pbc="T T T"
Ru 0.000 0.000 0.000
Br 2.098 2.098 1.910
N 0.000 0.000 1.910
F 0.000 2.098 0.000
F 2.098 0.000 0.000

---

Repeat the fifth record exactly.
5
Lattice="4.793 0.000 0.000 0.000 4.793 0.000 0.000 0.000 3.672" Properties=species:S:1:pos:R:3 comment="RuBrNF2, relaxed, DFT PBE" raw_formation_energy_ev_per_atom=1.124 dft_energy_ev_per_atom=-3.4792 mass_density_g_cm3=4.6 pbc="T T T"
Ru 0.000 0.000 0.000
Br 2.397 2.397 1.836
N 2.397 2.397 0.000
F 0.000 2.397 1.836
F 2.397 0.000 1.836

---

Question: What is the formula in the first record?
Answer: RbBrNF2